Here is crystalline Hf2Ga2CuAu at its relaxed geometry from the Open Quantum Materials Database. Energies are from PBE-GGA.

a b c (Å): 7.506 4.313 14.329
angles (deg): 90.00 99.69 90.00
Element x y z (fractional)
1 Hf 0.000 0.000 0.000
2 Hf 0.007 0.500 0.493
3 Hf 0.237 0.000 0.737
4 Hf 0.246 0.500 0.242
5 Hf 0.483 0.000 0.485
6 Hf 0.499 0.500 0.999
7 Hf 0.744 0.000 0.237
8 Hf 0.757 0.500 0.740
9 Ga 0.121 0.500 0.860
10 Ga 0.128 0.000 0.363
11 Ga 0.361 0.500 0.611
12 Ga 0.373 0.000 0.124
13 Ga 0.610 0.500 0.362
14 Ga 0.621 0.000 0.866
15 Ga 0.876 0.500 0.125
16 Ga 0.881 0.000 0.617
17 Cu 0.060 0.500 0.677
18 Cu 0.061 0.000 0.183
19 Cu 0.307 0.500 0.426
20 Cu 0.558 0.500 0.182
21 Au 0.309 0.000 0.930
22 Au 0.558 0.000 0.676
23 Au 0.809 0.000 0.427
24 Au 0.811 0.500 0.931

Results
Excess energy over the best structure of this formula in the dataset   0.44 eV/f.u.

=====

Here is crystalline HfPdPb at its relaxed geometry from the Open Quantum Materials Database. Energies are from PBE-GGA.

a b c (Å): 4.585 4.585 6.942
angles (deg): 90.00 90.00 120.00
Element x y z (fractional)
1 Hf 0.000 0.000 0.000
2 Hf 0.000 0.000 0.500
3 Pd 0.333 0.667 0.346
4 Pd 0.667 0.333 0.846
5 Pb 0.333 0.667 0.744
6 Pb 0.667 0.333 0.244

Results
Total DFT energy (no corrections)   -39.6 eV/cell

=====

Here is crystalline Sr3Re2O9 at its relaxed geometry from the Open Quantum Materials Database. Energies are from PBE-GGA.

a b c (Å): 9.603 5.521 14.793
angles (deg): 90.00 115.65 90.00
Element x y z (fractional)
1 Sr 0.038 0.250 0.436
2 Sr 0.038 0.250 0.936
3 Sr 0.252 0.248 0.250
4 Sr 0.252 0.252 0.750
5 Sr 0.454 0.249 0.561
6 Sr 0.454 0.251 0.061
7 Sr 0.546 0.749 0.939
8 Sr 0.546 0.751 0.439
9 Sr 0.748 0.748 0.250
10 Sr 0.748 0.752 0.750
11 Sr 0.962 0.750 0.064
12 Sr 0.962 0.750 0.564
13 Re 0.144 0.748 0.340
14 Re 0.144 0.752 0.840
15 Re 0.356 0.749 0.159
16 Re 0.356 0.751 0.659
17 Re 0.644 0.249 0.341
18 Re 0.644 0.251 0.841
19 Re 0.856 0.248 0.160
20 Re 0.856 0.252 0.660
21 O 0.013 0.022 0.257
22 O 0.013 0.478 0.757
23 O 0.025 0.747 0.911
24 O 0.025 0.753 0.411
25 O 0.225 0.508 0.083
26 O 0.225 0.992 0.583
27 O 0.228 0.007 0.092
28 O 0.228 0.493 0.592
29 O 0.248 0.736 0.249
30 O 0.248 0.764 0.749
31 O 0.257 0.022 0.907
32 O 0.257 0.478 0.407
33 O 0.288 0.524 0.915
34 O 0.288 0.976 0.415
35 O 0.476 0.727 0.589
36 O 0.476 0.773 0.089
37 O 0.499 0.016 0.742
38 O 0.499 0.484 0.242
39 O 0.501 0.516 0.758
40 O 0.501 0.984 0.258
41 O 0.524 0.227 0.911
42 O 0.524 0.273 0.411
43 O 0.712 0.024 0.585
44 O 0.712 0.476 0.085
45 O 0.743 0.522 0.593
46 O 0.743 0.978 0.093
47 O 0.752 0.236 0.251
48 O 0.752 0.264 0.751
49 O 0.772 0.507 0.408
50 O 0.772 0.993 0.908
51 O 0.775 0.008 0.417
52 O 0.775 0.492 0.917
53 O 0.975 0.247 0.589
54 O 0.975 0.253 0.089
55 O 0.987 0.522 0.243
56 O 0.987 0.978 0.743

Results
Total DFT energy (no corrections)   -423.4 eV/cell

=====

Here is crystalline Dy2ErZn3FeAu2 at its relaxed geometry from the Open Quantum Materials Database. Energies are from PBE-GGA.

a b c (Å): 3.930 7.262 7.262
angles (deg): 119.86 90.00 90.00
Element x y z (fractional)
1 Dy 0.000 0.198 0.802
2 Dy 0.000 0.802 0.198
3 Er 0.000 0.592 0.592
4 Zn 0.500 0.199 0.428
5 Zn 0.500 0.428 0.199
6 Zn 0.500 0.967 0.967
7 Fe 0.000 0.199 0.199
8 Au 0.500 0.532 0.862
9 Au 0.500 0.862 0.532

Results
DFT formation energy   -4.427 eV/f.u.